DFT (PBE-GGA) results for PmAu5 after structural relaxation.

Structure (POSCAR):
```
PmAu5
1.0
5.5726 0.0000 0.0000
2.7863 4.8260 0.0000
2.7863 1.6087 4.5500
Pm Au
1 5
Direct
0.0000 0.0000 0.0000
0.2500 0.2500 0.2500
0.6246 0.6246 0.1263
0.6246 0.6246 0.6246
0.6246 0.1263 0.6246
0.1263 0.6246 0.6246
```

calculated total energy	-3.97	eV per atom
theoretical density	15.33	g/cm³
space-group type	F-43m
formation enthalpy at 0 K	-43.42	kJ per mole of atoms

***

DFT (PBE-GGA) results for Er3SN2 after structural relaxation.

Structure (POSCAR):
```
Er3SN2
1.0
-1.8077 1.8077 7.5231
1.8077 -1.8077 7.5231
1.8077 1.8077 -7.5231
Er S N
3 1 2
Direct
0.5000 0.5000 0.0000
0.8226 0.8226 0.0000
0.1774 0.1774 0.0000
0.0000 0.0000 0.0000
0.6693 0.6693 0.0000
0.3307 0.3307 0.0000
```

calculated total energy	-7.44	eV per atom
uncorrected formation energy	-1.700	eV/atom
theoretical density	9.49	g/cm³
space-group type	I4/mmm

***

DFT (PBE-GGA) results for Rb2PaTlBr6 after structural relaxation.

Structure (POSCAR):
```
Rb2PaTlBr6
1.0
-2.3522 -8.1464 -2.8763
2.5871 -2.8081 -8.0988
10.9061 -8.6057 1.5183
Rb Pa Tl Br
4 2 2 12
Direct
0.8700 0.8700 0.3899
0.1300 0.1300 0.6101
0.7361 0.7361 0.7916
0.2639 0.2639 0.2084
0.0000 0.0000 0.0000
0.5000 0.5000 0.5000
0.5900 0.5900 0.2299
0.4100 0.4100 0.7701
0.8756 0.3644 0.3957
0.3644 0.8756 0.3957
0.3644 0.3644 0.3957
0.1244 0.6356 0.6043
0.6356 0.1244 0.6043
0.6356 0.6356 0.6043
0.7574 0.1892 0.8642
0.1892 0.7574 0.8642
0.1892 0.1892 0.8642
0.2426 0.8108 0.1358
0.8108 0.2426 0.1358
0.8108 0.8108 0.1358
```

calculated total energy	-3.73	eV per atom
uncorrected formation energy	-1.343	eV/atom
theoretical density	4.00	g/cm³
space-group type	R-3m

***

DFT (PBE-GGA) results for Li2NiPb2 after structural relaxation.

Structure (POSCAR):
```
Li2NiPb2
1.0
6.7184 0.0000 0.0000
0.0000 6.7184 0.0000
0.0000 0.0000 4.2243
Pb Ni Li
4 2 4
Direct
0.1764 0.6764 0.5000
0.6764 0.8236 0.5000
0.8236 0.3236 0.5000
0.3236 0.1764 0.5000
0.0000 0.0000 0.0000
0.5000 0.5000 0.0000
0.3607 0.8607 0.0000
0.8607 0.6393 0.0000
0.6393 0.1393 0.0000
0.1393 0.3607 0.0000
```

calculated total energy	-3.34	eV per atom
theoretical density	8.48	g/cm³
space-group type	P4/mbm
formation enthalpy at 0 K	5.88	kJ per mole of atoms

***

Question: What is the calculated total energy in the third record?
Answer: -3.73 eV per atom

***

Repeat the third record exactly.
DFT (PBE-GGA) results for Rb2PaTlBr6 after structural relaxation.

Structure (POSCAR):
```
Rb2PaTlBr6
1.0
-2.3522 -8.1464 -2.8763
2.5871 -2.8081 -8.0988
10.9061 -8.6057 1.5183
Rb Pa Tl Br
4 2 2 12
Direct
0.8700 0.8700 0.3899
0.1300 0.1300 0.6101
0.7361 0.7361 0.7916
0.2639 0.2639 0.2084
0.0000 0.0000 0.0000
0.5000 0.5000 0.5000
0.5900 0.5900 0.2299
0.4100 0.4100 0.7701
0.8756 0.3644 0.3957
0.3644 0.8756 0.3957
0.3644 0.3644 0.3957
0.1244 0.6356 0.6043
0.6356 0.1244 0.6043
0.6356 0.6356 0.6043
0.7574 0.1892 0.8642
0.1892 0.7574 0.8642
0.1892 0.1892 0.8642
0.2426 0.8108 0.1358
0.8108 0.2426 0.1358
0.8108 0.8108 0.1358
```

calculated total energy	-3.73	eV per atom
uncorrected formation energy	-1.343	eV/atom
theoretical density	4.00	g/cm³
space-group type	R-3m